The following is a DFT calculation (GGA-PBE) of an optimized crystal structure of Tb2YSn2Pb5.

Output
Calculated density = 9.99 Mg/m³
Excess energy over the best structure of this formula in the dataset = 18.5 meV/atom
Calculated total energy = -4.6184 eV/atom

Structure (CIF):
```
data_Tb2YSn2Pb5
_symmetry_space_group_name_H-M 'C m m m'
_symmetry_Int_Tables_number 65
_symmetry_space_group_name_Hall '-C 2 2'
_cell_length_a 4.551
_cell_length_b 26.951
_cell_length_c 4.556
_cell_angle_alpha 90.00
_cell_angle_beta 90.00
_cell_angle_gamma 90.00
loop_
_atom_site_label
_atom_site_fract_x
_atom_site_fract_y
_atom_site_fract_z
_atom_site_occupancy
Tb1 0.000 0.190 0.000 1
Y1 0.000 0.500 0.500 1
Sn1 0.000 0.097 0.500 1
Pb1 0.000 0.000 0.000 1
Pb2 0.000 0.291 0.500 1
Pb3 0.000 0.403 0.000 1
```

The following is a DFT calculation (GGA-PBE) of an optimized crystal structure of ErHfAsO.

Output
Calculated density = 9.38 Mg/m³
Excess energy over the best structure of this formula in the dataset = 155.0 meV/atom
Calculated total energy = -7.7837 eV/atom

Structure (CIF):
```
data_ErHfAsO
_symmetry_space_group_name_H-M 'P m m a'
_symmetry_Int_Tables_number 51
_cell_length_a 5.095
_cell_length_b 4.054
_cell_length_c 7.488
_cell_angle_alpha 90.00
_cell_angle_beta 90.00
_cell_angle_gamma 90.00
loop_
_symmetry_equiv_pos_as_xyz
'x,y,z'
'-x,-y,-z'
'-x+1/2,-y,z'
'x+1/2,y,-z'
'x+1/2,-y,-z'
'-x+1/2,y,z'
'-x,y,-z'
'x,-y,z'
loop_
_atom_site_label
_atom_site_fract_x
_atom_site_fract_y
_atom_site_fract_z
_atom_site_occupancy
Er1 0.250 0.000 0.139 1
Hf1 0.250 0.500 0.757 1
As1 0.250 0.500 0.391 1
O1 0.250 0.000 0.833 1
```

The following is a DFT calculation (GGA-PBE) of an optimized crystal structure of DyHgPd.

Output
Calculated formation energy = -258 meV/atom
Calculated density = 9.94 Mg/m³
Calculated total energy = -3.6161 eV/atom

Structure (CIF):
```
data_DyHgPd
_symmetry_space_group_name_H-M 'F -4 3 m'
_symmetry_Int_Tables_number 216
_symmetry_space_group_name_Hall 'F -4 2 3'
_cell_length_a 6.795
_cell_length_b 6.795
_cell_length_c 6.795
_cell_angle_alpha 90.00
_cell_angle_beta 90.00
_cell_angle_gamma 90.00
loop_
_atom_site_label
_atom_site_fract_x
_atom_site_fract_y
_atom_site_fract_z
_atom_site_occupancy
Dy1 0.000 0.000 0.000 1
Hg1 0.250 0.250 0.750 1
Pd1 0.250 0.250 0.250 1
```

The following is a DFT calculation (GGA-PBE) of an optimized crystal structure of Er3Zn3IrAu2.

Output
Calculated formation energy = -689 meV/atom
Calculated density = 11.77 Mg/m³
Calculated total energy = -4.3417 eV/atom

Structure (CIF):
```
data_Er3Zn3IrAu2
_symmetry_space_group_name_H-M 'P -6 2 m'
_symmetry_Int_Tables_number 189
_symmetry_space_group_name_Hall 'P -6 -2'
_cell_length_a 7.2583
_cell_length_b 7.2583
_cell_length_c 3.9693
_cell_angle_alpha 90.00
_cell_angle_beta 90.00
_cell_angle_gamma 120.00
loop_
_atom_site_label
_atom_site_fract_x
_atom_site_fract_y
_atom_site_fract_z
_atom_site_occupancy
Er1 0.0000 0.6076 0.0000 1
Zn1 0.0000 0.2413 0.5000 1
Ir1 0.0000 0.0000 0.0000 1
Au1 0.3333 0.6667 0.5000 1
```

The following is a DFT calculation (GGA-PBE) of an optimized crystal structure of BeNbSiNi.

Output
Calculated density = 6.30 Mg/m³
Excess energy over the best structure of this formula in the dataset = 0.0 meV/atom
Calculated total energy = -6.3418 eV/atom

Structure (CIF):
```
data_BeNbSiNi
_symmetry_space_group_name_H-M 'F -4 3 m'
_symmetry_Int_Tables_number 216
_symmetry_space_group_name_Hall 'F -4 2 3'
_cell_length_a 5.837
_cell_length_b 5.837
_cell_length_c 5.837
_cell_angle_alpha 90.00
_cell_angle_beta 90.00
_cell_angle_gamma 90.00
loop_
_atom_site_label
_atom_site_fract_x
_atom_site_fract_y
_atom_site_fract_z
_atom_site_occupancy
Be1 0.000 0.000 0.000 1
Nb1 0.250 0.250 0.250 1
Si1 0.000 0.000 0.500 1
Ni1 0.250 0.250 0.750 1
```

The following is a DFT calculation (GGA-PBE) of an optimized crystal structure of ZnFeMoAs.

Output
Calculated density = 8.74 Mg/m³
Excess energy over the best structure of this formula in the dataset = 0.0 meV/atom
Calculated total energy = -6.0481 eV/atom

Structure (CIF):
```
data_ZnFeMoAs
_symmetry_space_group_name_H-M 'F -4 3 m'
_symmetry_Int_Tables_number 216
_symmetry_space_group_name_Hall 'F -4 2 3'
_cell_length_a 6.055
_cell_length_b 6.055
_cell_length_c 6.055
_cell_angle_alpha 90.00
_cell_angle_beta 90.00
_cell_angle_gamma 90.00
loop_
_atom_site_label
_atom_site_fract_x
_atom_site_fract_y
_atom_site_fract_z
_atom_site_occupancy
Zn1 0.000 0.000 0.000 1
Fe1 0.250 0.250 0.750 1
Mo1 0.250 0.250 0.250 1
As1 0.000 0.000 0.500 1
```

The following is a DFT calculation (GGA-PBE) of an optimized crystal structure of GaAu124.

Output
Calculated density = 17.97 Mg/m³
Calculated total energy = -3.2741 eV/atom

Structure (CIF):
```
data_GaAu124
_symmetry_space_group_name_H-M 'F m -3 m'
_symmetry_Int_Tables_number 225
_symmetry_space_group_name_Hall '-F 4 2 3'
_cell_length_a 20.841
_cell_length_b 20.841
_cell_length_c 20.841
_cell_angle_alpha 90.00
_cell_angle_beta 90.00
_cell_angle_gamma 90.00
loop_
_atom_site_label
_atom_site_fract_x
_atom_site_fract_y
_atom_site_fract_z
_atom_site_occupancy
Ga1 0.000 0.000 0.000 1
Au1 0.000 0.000 0.200 1
Au2 0.000 0.000 0.400 1
Au3 0.000 0.099 0.099 1
Au4 0.000 0.100 0.300 1
Au5 0.000 0.200 0.200 1
Au6 0.100 0.100 0.200 1
Au7 0.100 0.100 0.400 1
Au8 0.100 0.200 0.300 1
Au9 0.200 0.200 0.200 1
```

The following is a DFT calculation (GGA-PBE) of an optimized crystal structure of CsErHgS3.

Output
Calculated density = 5.69 Mg/m³
Calculated total energy = -4.2892 eV/atom

Structure (CIF):
```
data_CsErHgS3
_symmetry_space_group_name_H-M 'P n m a'
_symmetry_Int_Tables_number 62
_cell_length_a 10.694
_cell_length_b 4.128
_cell_length_c 15.775
_cell_angle_alpha 90.00
_cell_angle_beta 90.00
_cell_angle_gamma 90.00
loop_
_symmetry_equiv_pos_as_xyz
'x,y,z'
'-x,-y,-z'
'-x+1/2,-y,z+1/2'
'x+1/2,y,-z+1/2'
'x+1/2,-y+1/2,-z+1/2'
'-x+1/2,y+1/2,z+1/2'
'-x,y+1/2,-z'
'x,-y+1/2,z'
loop_
_atom_site_label
_atom_site_fract_x
_atom_site_fract_y
_atom_site_fract_z
_atom_site_occupancy
Cs1 0.247 0.250 0.014 1
Er1 0.011 0.250 0.750 1
Hg1 0.239 0.250 0.303 1
S1 0.026 0.250 0.365 1
S2 0.047 0.750 0.865 1
S3 0.239 0.750 0.196 1
```